This record from the Alexandria database describes a relaxed CsNbSb2Te crystal. The functional is PBE-GGA.

The space group is P4/mmm (No. 123) and the conventional cell measures 5.961, 5.961 and 6.035 Å, with angles of 90.00, 90.00 and 90.00 degrees. The asymmetric unit holds Cs at (0.000, 0.000, 0.000), Nb at (0.500, 0.500, 0.500), Sb at (0.000, 0.500, 0.000) and Te at (0.000, 0.000, 0.500).

The calculation puts the density of states at the Fermi level at 7.162 states/eV/cell. The energy above the lowest structure with this stoichiometry comes out at 2313.2 meV/atom. Its uncorrected formation energy is 10.870 eV per formula unit. As for the energy: -2.29 eV per atom. The volume comes out at 214.49 Å³/cell.



This record from the Alexandria database describes a relaxed CaMo2Br crystal. The functional is PBE-GGA.

The space group is P2/m (No. 10) and the conventional cell measures 4.270, 3.311 and 5.816 Å, with angles of 90.00, 97.30 and 90.00 degrees. The asymmetric unit holds Ca at (0.000, 0.000, 0.000), Mo at (0.000, 0.500, 0.500), Mo at (0.500, 0.000, 0.500) and Br at (0.500, 0.500, 0.000).

The calculation puts the density of states at the Fermi level at 3.777 states/eV/cell. The energy above the lowest structure with this stoichiometry comes out at 486.4 meV/atom. Its uncorrected formation energy is 1.994 eV per formula unit. As for the energy: -5.84 eV per atom. The volume comes out at 81.57 Å³/cell.



This record from the Alexandria database describes a relaxed Hf3CoP crystal. The functional is PBE-GGA.

The space group is Pm-3m (No. 221) and the conventional cell measures 4.715, 4.715 and 4.715 Å, with angles of 90.00, 90.00 and 90.00 degrees. The asymmetric unit holds Hf at (0.000, 0.000, 0.500), Co at (0.000, 0.000, 0.000) and P at (0.500, 0.500, 0.500).

The calculation puts the density of states at the Fermi level at 2.623 states/eV/cell. For the formation energy, the calculation gives 118 meV per atom. The energy above the lowest structure with this stoichiometry comes out at 0.0 meV/atom. As for the energy: -8.36 eV per atom. The volume comes out at 104.85 Å³/cell.